Record 1
Density functional theory data (PBE) for a geometry-optimized La3Nd2DySe6 structure.

## Properties
The symmetry is No. 12.

Cell lengths 7.3575, 7.3575, 7.3560 Å; angles 99.59, 99.59, 120.14 degrees
Element x y z (fractional)
La 0.1707 0.8293 0.5000
La 0.8293 0.1707 0.5000
La 0.5000 0.5000 0.5000
Nd 0.3333 0.6667 0.0000
Nd 0.6667 0.3333 0.0000
Dy 0.0000 0.0000 0.0000
Se 0.9206 0.5958 0.7610
Se 0.7564 0.7564 0.2429
Se 0.0794 0.4042 0.2390
Se 0.5958 0.9206 0.7610
Se 0.2436 0.2436 0.7571
Se 0.4042 0.0794 0.2390

Record 2
Density functional theory data (PBE) for a geometry-optimized LaNd2DySe5 structure.

## Properties
The symmetry is No. 36.

Cell lengths 4.1298, 9.0768, 14.0875 Å; angles 90.00, 90.00, 103.15 degrees
Element x y z (fractional)
La 0.5648 0.1296 0.9415
La 0.4352 0.8704 0.4415
Nd 0.8690 0.7380 0.8021
Nd 0.0748 0.1496 0.6294
Nd 0.1310 0.2620 0.3021
Nd 0.9252 0.8504 0.1294
Dy 0.7562 0.5125 0.5438
Dy 0.2438 0.4875 0.0438
Se 0.3954 0.7908 0.9769
Se 0.7238 0.4475 0.9021
Se 0.4975 0.9951 0.7549
Se 0.2406 0.4812 0.6866
Se 0.9111 0.8222 0.5867
Se 0.6046 0.2092 0.4769
Se 0.2762 0.5525 0.4021
Se 0.5025 0.0049 0.2549
Se 0.7594 0.5188 0.1866
Se 0.0889 0.1778 0.0867

It is found that the ΔE_f (raw) values, taken in the order of the records, are -1910; -1746 meV per atom.
It is found that the final energy values, taken in the order of the records, are -72.752; -52.205 eV per formula unit.
It is found that the N(E_F) values, taken in the order of the records, are 0.52; 0.38 states/eV/atom.